! PBE KTlSnI4, relaxed; values from VASP
! Magnetic moment in μB/f.u.: 0.0
! Energy in eV/f.u.: -19.015
! ΔE_f (raw) in eV per formula unit: -5.347
! SG: I4mm (107)
&SYSTEM
  ibrav = 0, nat = 7, ntyp = 4
/
ATOMIC_SPECIES
K 39.10 K.upf
Tl 204.38 Tl.upf
Sn 118.71 Sn.upf
I 126.90 I.upf
ATOMIC_POSITIONS angstrom
K 3.1094 3.1094 2.2928
Tl 0.0000 0.0000 6.4030
Sn 3.1094 3.1094 8.7979
I 0.0000 3.1094 0.0468
I 3.1094 0.0000 0.0468
I 3.1094 3.1094 5.7453
I 0.0000 0.0000 3.1967
CELL_PARAMETERS angstrom
6.2188 0.0000 0.0000
0.0000 6.2188 0.0000
-3.1094 -3.1094 8.8431